VASP calculation (PBE) on crystalline Pr14ScIn at its relaxed geometry.

Values from the calculation:
Space group: P4/mmm, No. 123

abc: 7.2629 7.2629 10.3945
angles: 90.00 90.00 90.00
Fractional positions:
Pr 0.0000 0.0000 0.0000
Pr 0.0000 0.5000 0.0000
Pr 0.0000 0.5000 0.5000
Pr 0.2499 0.2499 0.2581
Pr 0.2499 0.2499 0.7419
Pr 0.2499 0.7501 0.2581
Pr 0.2499 0.7501 0.7419
Pr 0.5000 0.0000 0.0000
Pr 0.5000 0.0000 0.5000
Pr 0.5000 0.5000 0.0000
Pr 0.7501 0.2499 0.2581
Pr 0.7501 0.2499 0.7419
Pr 0.7501 0.7501 0.2581
Pr 0.7501 0.7501 0.7419
Sc 0.0000 0.0000 0.5000
In 0.5000 0.5000 0.5000

VASP calculation (PBE) on crystalline Pr3ScIn at its relaxed geometry.

Values from the calculation:
Space group: C2/c, No. 15
Energy above the most stable polymorph in this dataset: 0.038 eV/atom

abc: 8.6603 8.6603 10.1529
angles: 100.57 100.57 118.34
Fractional positions:
Pr 0.0075 0.4046 0.8356
Pr 0.1170 0.7616 0.5477
Pr 0.2384 0.8830 0.9523
Pr 0.3061 0.4980 0.3854
Pr 0.4046 0.0075 0.3356
Pr 0.4980 0.3061 0.8854
Pr 0.5020 0.6939 0.1146
Pr 0.5954 0.9925 0.6644
Pr 0.6939 0.5020 0.6146
Pr 0.7616 0.1170 0.0477
Pr 0.8830 0.2384 0.4523
Pr 0.9925 0.5954 0.1644
Sc 0.0088 0.9912 0.2500
Sc 0.3986 0.6014 0.7500
Sc 0.6014 0.3986 0.2500
Sc 0.9912 0.0088 0.7500
In 0.1969 0.2433 0.0661
In 0.2433 0.1969 0.5661
In 0.7567 0.8031 0.4339
In 0.8031 0.7567 0.9339

VASP calculation (PBE) on crystalline Pr3ScIn4 at its relaxed geometry.

Values from the calculation:
Space group: P4/mmm, No. 123

abc: 3.7641 3.7641 15.7494
angles: 90.00 90.00 90.00
Fractional positions:
Pr 0.0000 0.0000 0.0000
Pr 0.0000 0.0000 0.2631
Pr 0.0000 0.0000 0.7369
Sc 0.0000 0.0000 0.5000
In 0.5000 0.5000 0.1319
In 0.5000 0.5000 0.3965
In 0.5000 0.5000 0.6035
In 0.5000 0.5000 0.8681

VASP calculation (PBE) on crystalline PrScIn2 at its relaxed geometry.

Values from the calculation:
Space group: P4/mmm, No. 123

abc: 3.7051 3.7051 7.5718
angles: 90.00 90.00 90.00
Fractional positions:
Pr 0.0000 0.0000 0.0000
Sc 0.0000 0.0000 0.5000
In 0.5000 0.5000 0.2802
In 0.5000 0.5000 0.7198

VASP calculation (PBE) on crystalline Pr6ScIn at its relaxed geometry.

Values from the calculation:
Space group: P4/mmm, No. 123

abc: 5.0463 5.0463 10.2069
angles: 90.00 90.00 90.00
Fractional positions:
Pr 0.0000 0.0000 0.0000
Pr 0.0000 0.0000 0.5000
Pr 0.0000 0.5000 0.2483
Pr 0.0000 0.5000 0.7517
Pr 0.5000 0.0000 0.2483
Pr 0.5000 0.0000 0.7517
Sc 0.5000 0.5000 0.5000
In 0.5000 0.5000 0.0000

VASP calculation (PBE) on crystalline Pr3Sc4In4 at its relaxed geometry.

Values from the calculation:
Space group: Immm, No. 71

abc: 9.3341 9.3341 9.3341
angles: 149.36 131.66 58.32
Fractional positions:
Pr 0.0000 0.0000 0.0000
Pr 0.3822 0.8822 0.5000
Pr 0.6178 0.1178 0.5000
Sc 0.0302 0.3252 0.7050
Sc 0.3797 0.6748 0.7050
Sc 0.6203 0.3252 0.2950
Sc 0.9698 0.6748 0.2950
In 0.2062 0.2062 0.0000
In 0.3043 0.5000 0.8043
In 0.6957 0.5000 0.1957
In 0.7938 0.7938 0.0000

VASP calculation (PBE) on crystalline PrScIn at its relaxed geometry.

Values from the calculation:
Space group: P3m1, No. 156
Energy above the most stable polymorph in this dataset: 0.254 eV/atom

abc: 5.2942 5.2942 3.2266
angles: 90.00 90.00 120.00
Fractional positions:
Pr 0.0000 0.0000 0.0000
Sc 0.6667 0.3333 0.9946
In 0.3333 0.6667 0.4981

VASP calculation (PBE) on crystalline PrSc5In3 at its relaxed geometry.

Values from the calculation:
Space group: P6_3/mcm, No. 193

abc: 8.9080 8.9080 6.4021
angles: 90.00 90.00 120.00
Fractional positions:
Pr 0.0000 0.0000 0.0000
Pr 0.0000 0.0000 0.5000
Sc 0.0000 0.3318 0.2500
Sc 0.0000 0.6682 0.7500
Sc 0.3318 0.0000 0.2500
Sc 0.3318 0.3318 0.7500
Sc 0.3333 0.6667 0.0000
Sc 0.3333 0.6667 0.5000
Sc 0.6667 0.3333 0.0000
Sc 0.6667 0.3333 0.5000
Sc 0.6682 0.0000 0.7500
Sc 0.6682 0.6682 0.2500
In 0.0000 0.3447 0.7500
In 0.0000 0.6553 0.2500
In 0.3447 0.0000 0.7500
In 0.3447 0.3447 0.2500
In 0.6553 0.0000 0.2500
In 0.6553 0.6553 0.7500

For reference, magnetization by record: 0.000 0.000 0.000 0.000 0.000 1.058 0.001 0.000 μB per formula unit.
For reference, Fermi-level density of states by record: 20.62 24.94 3.79 2.57 9.87 10.44 3.94 19.43 states/eV/cell.
For reference, final energy by record: -4.79 -4.81 -4.43 -4.60 -4.83 -4.93 -4.70 -5.31 eV/atom.